# TlCd2 PBE optimized geometry
data_TlCd2
_chemical_formula_sum 'Tl4 Cd8'
_symmetry_space_group_name_H-M 'P a -3'
_symmetry_Int_Tables_number 205
_symmetry_space_group_name_Hall '-P 2ac 2ab 3'
_cell_length_a 7.201
_cell_length_b 7.201
_cell_length_c 7.201
_cell_angle_alpha 90.00
_cell_angle_beta 90.00
_cell_angle_gamma 90.00
loop_
_atom_site_label
_atom_site_fract_x
_atom_site_fract_y
_atom_site_fract_z
_atom_site_occupancy
Tl1 0.000 0.000 0.000 1
Cd1 0.121 0.621 0.879 1
# **Formation energy**: 21.6 kJ/mol of atoms

---

# ZnMoIr PBE optimized geometry
data_ZnMoIr
_chemical_formula_sum 'Zn2 Mo2 Ir2'
_symmetry_space_group_name_H-M 'I m m 2'
_symmetry_Int_Tables_number 44
_symmetry_space_group_name_Hall 'I 2 -2'
_cell_length_a 2.816
_cell_length_b 3.835
_cell_length_c 8.177
_cell_angle_alpha 90.00
_cell_angle_beta 90.00
_cell_angle_gamma 90.00
loop_
_atom_site_label
_atom_site_fract_x
_atom_site_fract_y
_atom_site_fract_z
_atom_site_occupancy
Zn1 0.000 0.000 0.000 1
Mo1 0.000 0.000 0.329 1
Ir1 0.000 0.000 0.668 1
# **Formation energy**: -10.9 kJ/mol of atoms
# **Energy above the most stable polymorph in this dataset**: 0.23 eV per formula unit

---

# Ac3PmSm2Se6 PBE optimized geometry
data_Ac3PmSm2Se6
_chemical_formula_sum 'Ac6 Pm2 Sm4 Se12'
_symmetry_space_group_name_H-M 'C 1 2/m 1'
_symmetry_Int_Tables_number 12
_symmetry_space_group_name_Hall '-C 2y'
_cell_length_a 7.411
_cell_length_b 12.880
_cell_length_c 7.591
_cell_angle_alpha 90.00
_cell_angle_beta 109.09
_cell_angle_gamma 90.00
loop_
_atom_site_label
_atom_site_fract_x
_atom_site_fract_y
_atom_site_fract_z
_atom_site_occupancy
Ac1 0.000 0.000 0.000 1
Ac2 0.000 0.334 0.000 1
Pm1 0.000 0.500 0.500 1
Sm1 0.000 0.167 0.500 1
Se1 0.242 0.000 0.730 1
Se2 0.244 0.333 0.731 1
# **E_form (uncorrected)**: -42.4 kcal/mol of atoms

---

# InP2Br PBE optimized geometry
data_InP2Br
_chemical_formula_sum 'In4 P8 Br4'
_symmetry_space_group_name_H-M 'I -4 2 d'
_symmetry_Int_Tables_number 122
_symmetry_space_group_name_Hall 'I -4 2bw'
_cell_length_a 5.625
_cell_length_b 5.625
_cell_length_c 14.113
_cell_angle_alpha 90.00
_cell_angle_beta 90.00
_cell_angle_gamma 90.00
loop_
_atom_site_label
_atom_site_fract_x
_atom_site_fract_y
_atom_site_fract_z
_atom_site_occupancy
In1 0.000 0.000 0.000 1
P1 0.246 0.250 0.125 1
Br1 0.000 0.000 0.500 1
# **Energy above the most stable polymorph in this dataset**: 2.88 eV per formula unit
# **E_form (uncorrected)**: 14.1 kcal/mol of atoms

---

We obtain magnetization values of 0.00; 0.00; 0.00; 0.00 μB/f.u. for the records listed above, in that order.
We obtain raw total energy values of -14.10; -42.61; -138.99; -51.17 eV/cell for the records listed above, in that order.